No. 1
This record from Alexandria describes a geometry-optimized Sc3PdC structure. The functional is GGA-PBEsol.

Geometry as POSCAR:
```
Sc3PdC
1.0
4.4236 0.0000 0.0000
0.0000 4.4236 0.0000
0.0000 0.0000 4.4236
Sc Pd C
3 1 1
direct
0.0000 0.0000 0.5000
0.0000 0.5000 0.0000
0.5000 0.0000 0.0000
0.5000 0.5000 0.5000
0.0000 0.0000 0.0000
```

As for the symmetry: Pm-3m. The value obtained for the density of states at the Fermi level is 1.1132 states/eV/atom. The uncorrected energy is -7.63 eV per atom. The crystal system is cubic. As for the total magnetization: 0.0011 μB per atom.


No. 2
This record from Alexandria describes a geometry-optimized Sn3PdC structure. The functional is GGA-PBEsol.

Geometry as POSCAR:
```
Sn3PdC
1.0
4.6313 0.0000 0.0000
0.0000 4.6313 0.0000
0.0000 0.0000 4.6313
Sn Pd C
3 1 1
direct
0.0000 0.0000 0.5000
0.0000 0.5000 0.0000
0.5000 0.0000 0.0000
0.5000 0.5000 0.5000
0.0000 0.0000 0.0000
```

As for the symmetry: Pm-3m. The value obtained for the density of states at the Fermi level is 0.4237 states/eV/atom. The uncorrected energy is -4.93 eV per atom. The crystal system is cubic. As for the total magnetization: 0.0000 μB per atom.


No. 3
This record from Alexandria describes a geometry-optimized SrPdC3 structure. The functional is GGA-PBEsol.

Geometry as POSCAR:
```
SrPdC3
1.0
4.1139 0.0000 0.0000
0.0000 4.1139 0.0000
0.0000 0.0000 4.1139
Sr Pd C
1 1 3
direct
0.0000 0.0000 0.0000
0.5000 0.5000 0.5000
0.0000 0.5000 0.5000
0.5000 0.0000 0.5000
0.5000 0.5000 0.0000
```

As for the symmetry: Pm-3m. The value obtained for the density of states at the Fermi level is 0.7279 states/eV/atom. The uncorrected energy is -5.44 eV per atom. The crystal system is cubic. As for the total magnetization: 0.0000 μB per atom.


No. 4
This record from Alexandria describes a geometry-optimized TaPd2C2 structure. The functional is GGA-PBEsol.

Geometry as POSCAR:
```
TaPd2C2
1.0
-1.8089 1.8089 4.3373
1.8089 -1.8089 4.3373
1.8089 1.8089 -4.3373
Ta Pd C
1 2 2
direct
0.0000 0.0000 0.0000
0.2500 0.7500 0.5000
0.7500 0.2500 0.5000
0.4189 0.4189 0.0000
0.5811 0.5811 0.0000
```

As for the symmetry: I4/mmm. The value obtained for the density of states at the Fermi level is 0.8152 states/eV/atom. The uncorrected energy is -8.06 eV per atom. The crystal system is tetragonal. As for the total magnetization: 0.0001 μB per atom.


No. 5
This record from Alexandria describes a geometry-optimized TcPdC2 structure. The functional is GGA-PBEsol.

Geometry as POSCAR:
```
TcPdC2
1.0
0.0000 2.6810 2.6810
2.6810 0.0000 2.6810
2.6810 2.6810 0.0000
Tc Pd C
1 1 2
direct
0.0000 0.0000 0.0000
0.5000 0.5000 0.5000
0.2500 0.2500 0.2500
0.7500 0.7500 0.7500
```

As for the symmetry: Fm-3m. The value obtained for the density of states at the Fermi level is 0.4002 states/eV/atom. The uncorrected energy is -7.83 eV per atom. The crystal system is cubic. As for the total magnetization: 0.0000 μB per atom.


No. 6
This record from Alexandria describes a geometry-optimized TePd2C structure. The functional is GGA-PBEsol.

Geometry as POSCAR:
```
TePd2C
1.0
-2.4467 2.4467 5.9152
2.4467 -2.4467 5.9152
2.4467 2.4467 -5.9152
Te Pd C
2 4 2
direct
0.0000 0.0000 0.0000
0.7500 0.2500 0.5000
0.2486 0.6250 0.1236
0.3750 0.4986 0.6236
0.5014 0.1250 0.8764
0.8750 0.7514 0.3764
0.2500 0.7500 0.5000
0.5000 0.5000 0.0000
```

As for the symmetry: I-42d. The value obtained for the density of states at the Fermi level is 0.4745 states/eV/atom. The crystal system is tetragonal. As for the formation energy (no corrections): 0.454 eV/atom. As for the total magnetization: 0.0000 μB per atom.


No. 7
This record from Alexandria describes a geometry-optimized TePdC2 structure. The functional is GGA-PBEsol.

Geometry as POSCAR:
```
TePdC2
1.0
-2.4724 2.4724 4.8965
2.4724 -2.4724 4.8965
2.4724 2.4724 -4.8965
Te Pd C
2 2 4
direct
0.0000 0.0000 0.0000
0.7500 0.2500 0.5000
0.2500 0.7500 0.5000
0.5000 0.5000 0.0000
0.1523 0.6250 0.0273
0.3750 0.4023 0.5273
0.5977 0.1250 0.9727
0.8750 0.8477 0.4727
```

As for the symmetry: I-42d. The value obtained for the density of states at the Fermi level is 0.3429 states/eV/atom. The crystal system is tetragonal. As for the formation energy (no corrections): 1.442 eV/atom. As for the total magnetization: 0.0000 μB per atom.


No. 8
This record from Alexandria describes a geometry-optimized YPdC3 structure. The functional is GGA-PBEsol.

Geometry as POSCAR:
```
YPdC3
1.0
4.0093 0.0000 0.0000
0.0000 4.0093 0.0000
0.0000 0.0000 4.0093
Y Pd C
1 1 3
direct
0.0000 0.0000 0.0000
0.5000 0.5000 0.5000
0.0000 0.5000 0.5000
0.5000 0.0000 0.5000
0.5000 0.5000 0.0000
```

As for the symmetry: Pm-3m. The value obtained for the density of states at the Fermi level is 0.8063 states/eV/atom. The uncorrected energy is -6.70 eV per atom. The crystal system is cubic. As for the total magnetization: 0.0001 μB per atom.


No. 9
This record from Alexandria describes a geometry-optimized Pr2C3 structure. The functional is GGA-PBEsol.

Geometry as POSCAR:
```
Pr2C3
1.0
-4.2922 4.2922 4.2922
4.2922 -4.2922 4.2922
4.2922 4.2922 -4.2922
Pr C
8 12
direct
0.0000 0.1036 0.5000
0.0000 0.6036 0.5000
0.1036 0.5000 0.0000
0.3964 0.3964 0.3964
0.5000 0.0000 0.1036
0.5000 0.0000 0.6036
0.6036 0.5000 0.0000
0.8964 0.8964 0.8964
0.0475 0.7975 0.2500
0.2025 0.9525 0.2500
0.2500 0.0475 0.7975
0.2500 0.2025 0.9525
0.2975 0.5475 0.7500
0.4525 0.7025 0.7500
0.5475 0.7500 0.2975
0.7025 0.7500 0.4525
0.7500 0.2975 0.5475
0.7500 0.4525 0.7025
0.7975 0.2500 0.0475
0.9525 0.2500 0.2025
```

As for the symmetry: I-43d. The value obtained for the density of states at the Fermi level is 0.2693 states/eV/atom. The uncorrected energy is -8.03 eV per atom. The crystal system is cubic. As for the total magnetization: 0.0000 μB per atom.


No. 10
This record from Alexandria describes a geometry-optimized PrC2 structure. The functional is GGA-PBEsol.

Geometry as POSCAR:
```
PrC2
1.0
-1.9126 1.9126 3.2331
1.9126 -1.9126 3.2331
1.9126 1.9126 -3.2331
Pr C
1 2
direct
0.0000 0.0000 0.0000
0.3997 0.3997 0.0000
0.6003 0.6003 0.0000
```

As for the symmetry: I4/mmm. The value obtained for the density of states at the Fermi level is 0.2531 states/eV/atom. The uncorrected energy is -8.24 eV per atom. The crystal system is tetragonal. As for the total magnetization: 0.0000 μB per atom.


No. 11
This record from Alexandria describes a geometry-optimized Pr2ReC2 structure. The functional is GGA-PBEsol.

Geometry as POSCAR:
```
Pr2ReC2
1.0
6.6770 0.0000 0.0000
0.0000 5.3521 0.0000
0.0000 0.0000 10.1614
Pr Re C
8 4 8
direct
0.0246 0.2500 0.2134
0.1904 0.2500 0.5494
0.3096 0.7500 0.0494
0.4754 0.7500 0.7134
0.5246 0.2500 0.2866
0.6904 0.2500 0.9506
0.8096 0.7500 0.4506
0.9754 0.7500 0.7866
0.2308 0.2500 0.8576
0.2692 0.7500 0.3576
0.7308 0.2500 0.6424
0.7692 0.7500 0.1424
0.0328 0.7500 0.2423
0.1866 0.7500 0.5374
0.3134 0.2500 0.0374
0.4672 0.2500 0.7423
0.5328 0.7500 0.2577
0.6866 0.7500 0.9626
0.8134 0.2500 0.4626
0.9672 0.2500 0.7577
```

As for the symmetry: Pnma. The value obtained for the density of states at the Fermi level is 0.3574 states/eV/atom. The uncorrected energy is -8.84 eV per atom. The crystal system is orthorhombic. As for the total magnetization: 0.0000 μB per atom.


No. 12
This record from Alexandria describes a geometry-optimized Pr12Re5C15 structure. The functional is GGA-PBEsol.

Geometry as POSCAR:
```
Pr12Re5C15
1.0
10.9721 0.0000 0.0000
-5.4860 9.5021 0.0000
0.0000 0.0000 5.3379
Pr Re C
12 5 15
direct
0.0000 0.2046 0.0000
0.0000 0.5780 0.0000
0.1876 0.4588 0.5000
0.2046 0.0000 0.0000
0.2712 0.8124 0.5000
0.4220 0.4220 0.0000
0.4588 0.1876 0.5000
0.5412 0.7288 0.5000
0.5780 0.0000 0.0000
0.7288 0.5412 0.5000
0.7954 0.7954 0.0000
0.8124 0.2712 0.5000
0.0000 0.8482 0.5000
0.1518 0.1518 0.5000
0.3333 0.6667 0.0000
0.6667 0.3333 0.0000
0.8482 0.0000 0.5000
0.0000 0.2068 0.5000
0.0000 0.5492 0.5000
0.0000 0.6725 0.5000
0.1882 0.4747 0.0000
0.2068 0.0000 0.5000
0.2864 0.8118 0.0000
0.3275 0.3275 0.5000
0.4508 0.4508 0.5000
0.4747 0.1882 0.0000
0.5253 0.7136 0.0000
0.5492 0.0000 0.5000
0.6725 0.0000 0.5000
0.7136 0.5253 0.0000
0.7932 0.7932 0.5000
0.8118 0.2864 0.0000
```

As for the symmetry: P-62m. The value obtained for the density of states at the Fermi level is 0.2350 states/eV/atom. The uncorrected energy is -8.78 eV per atom. The crystal system is hexagonal. As for the total magnetization: 0.0000 μB per atom.


No. 13
This record from Alexandria describes a geometry-optimized PrRe2SiC structure. The functional is GGA-PBEsol.

Geometry as POSCAR:
```
PrRe2SiC
1.0
2.0087 -5.4424 0.0000
2.0087 5.4424 0.0000
0.0000 0.0000 7.2934
Pr Re Si C
2 4 2 2
direct
0.0434 0.9566 0.7500
0.9566 0.0434 0.2500
0.3252 0.6748 0.5623
0.3252 0.6748 0.9377
0.6748 0.3252 0.0623
0.6748 0.3252 0.4377
0.2344 0.7656 0.2500
0.7656 0.2344 0.7500
0.5000 0.5000 0.0000
0.5000 0.5000 0.5000
```

As for the symmetry: Cmcm. The value obtained for the density of states at the Fermi level is 0.4638 states/eV/atom. The crystal system is orthorhombic. As for the formation energy (no corrections): -0.442 eV/atom. As for the total magnetization: 0.0000 μB per atom.


No. 14
This record from Alexandria describes a geometry-optimized PrRh3C structure. The functional is GGA-PBEsol.

Geometry as POSCAR:
```
PrRh3C
1.0
4.1844 0.0000 0.0000
0.0000 4.1844 0.0000
0.0000 0.0000 4.1844
Pr Rh C
1 3 1
direct
0.0000 0.0000 0.0000
0.0000 0.5000 0.5000
0.5000 0.0000 0.5000
0.5000 0.5000 0.0000
0.5000 0.5000 0.5000
```

As for the symmetry: Pm-3m. The value obtained for the density of states at the Fermi level is 0.1136 states/eV/atom. The uncorrected energy is -8.23 eV per atom. The crystal system is cubic. As for the total magnetization: 0.0000 μB per atom.


No. 15
This record from Alexandria describes a geometry-optimized PrSiRu2C structure. The functional is GGA-PBEsol.

Geometry as POSCAR:
```
PrSiRu2C
1.0
1.9639 -5.5044 0.0000
1.9639 5.5044 0.0000
0.0000 0.0000 7.1351
Pr Si Ru C
2 2 4 2
direct
0.0512 0.9488 0.7500
0.9488 0.0512 0.2500
0.2281 0.7719 0.2500
0.7719 0.2281 0.7500
0.3346 0.6654 0.5595
0.3346 0.6654 0.9405
0.6654 0.3346 0.0595
0.6654 0.3346 0.4405
0.5000 0.5000 0.0000
0.5000 0.5000 0.5000
```

As for the symmetry: Cmcm. The value obtained for the density of states at the Fermi level is 0.6601 states/eV/atom. The crystal system is orthorhombic. As for the formation energy (no corrections): -0.569 eV/atom. As for the total magnetization: 0.0000 μB per atom.


No. 16
This record from Alexandria describes a geometry-optimized PtC structure. The functional is GGA-PBEsol.

Geometry as POSCAR:
```
PtC
1.0
-1.6563 1.6563 2.3211
1.6563 -1.6563 2.3211
1.6563 1.6563 -2.3211
Pt C
1 1
direct
0.0000 0.0000 0.0000
0.2500 0.7500 0.5000
```

As for the symmetry: I-4m2. The value obtained for the density of states at the Fermi level is 0.4570 states/eV/atom. The uncorrected energy is -7.42 eV per atom. The crystal system is tetragonal. As for the total magnetization: 0.0000 μB per atom.


No. 17
This record from Alexandria describes a geometry-optimized PtC structure. The functional is GGA-PBEsol.

Geometry as POSCAR:
```
PtC
1.0
0.0000 2.8751 2.8751
2.8751 0.0000 2.8751
2.8751 2.8751 0.0000
Pt C
2 2
direct
0.1250 0.1250 0.1250
0.8750 0.8750 0.8750
0.3750 0.3750 0.3750
0.6250 0.6250 0.6250
```

As for the symmetry: Fd-3m. The value obtained for the density of states at the Fermi level is 1.1762 states/eV/atom. The uncorrected energy is -5.78 eV per atom. The crystal system is cubic. As for the total magnetization: 0.0000 μB per atom.


No. 18
This record from Alexandria describes a geometry-optimized PtC structure. The functional is GGA-PBEsol.

Geometry as POSCAR:
```
PtC
1.0
4.4239 0.0000 0.0000
0.0000 4.4239 0.0000
0.0000 0.0000 4.4239
Pt C
4 4
direct
0.0213 0.0213 0.0213
0.4787 0.9787 0.5213
0.5213 0.4787 0.9787
0.9787 0.5213 0.4787
0.0606 0.5606 0.9394
0.4394 0.4394 0.4394
0.5606 0.9394 0.0606
0.9394 0.0606 0.5606
```

As for the symmetry: P2_13. The value obtained for the density of states at the Fermi level is 0.0272 states/eV/atom. The uncorrected energy is -7.08 eV per atom. The crystal system is cubic. As for the total magnetization: 0.0000 μB per atom.


No. 19
This record from Alexandria describes a geometry-optimized PtC3 structure. The functional is GGA-PBEsol.

Geometry as POSCAR:
```
PtC3
1.0
1.2266 -3.2701 0.0000
1.2266 3.2701 0.0000
0.0000 0.0000 5.5690
Pt C
1 3
direct
0.0000 0.0000 0.0000
0.0000 0.0000 0.5000
0.5000 0.5000 0.3164
0.5000 0.5000 0.6836
```

As for the symmetry: Cmmm. The value obtained for the density of states at the Fermi level is 0.4088 states/eV/atom. The uncorrected energy is -6.98 eV per atom. The crystal system is orthorhombic. As for the total magnetization: 0.0000 μB per atom.


No. 20
This record from Alexandria describes a geometry-optimized PtC3 structure. The functional is GGA-PBEsol.

Geometry as POSCAR:
```
PtC3
1.0
4.0007 0.0000 0.0000
0.0000 4.0007 0.0000
0.0000 0.0000 4.0007
Pt C
1 3
direct
0.0000 0.0000 0.0000
0.0000 0.0000 0.5000
0.0000 0.5000 0.0000
0.5000 0.0000 0.0000
```

As for the symmetry: Pm-3m. The value obtained for the density of states at the Fermi level is 0.5951 states/eV/atom. The uncorrected energy is -5.64 eV per atom. The crystal system is cubic. As for the total magnetization: 0.9269 μB per atom.